DFT (GGA-PBE) results for Gd3Zr5H12 after structural relaxation.

Cell: 10.7832 10.7832 10.7832 Å, 109.47 109.47 109.47°
Closest atoms and distances in Å follow each position.
Positions (direct):
Gd  0.1250  0.2500  0.3750  8 H 2.24-2.32
Gd  0.1250  0.3750  0.7500  8 H 2.24-2.32
Gd  0.2500  0.3750  0.1250  8 H 2.24-2.32
Gd  0.2500  0.8750  0.6250  8 H 2.24-2.32
Gd  0.3750  0.1250  0.2500  8 H 2.24-2.32
Gd  0.3750  0.7500  0.1250  8 H 2.24-2.32
Gd  0.6250  0.2500  0.8750  8 H 2.24-2.32
Gd  0.6250  0.8750  0.7500  8 H 2.24-2.32
Gd  0.7500  0.1250  0.3750  8 H 2.24-2.32
Gd  0.7500  0.6250  0.8750  8 H 2.24-2.32
Gd  0.8750  0.6250  0.2500  8 H 2.24-2.32
Gd  0.8750  0.7500  0.6250  8 H 2.24-2.32
Zr  0.0000  0.0000  0.0000  6 H 2.06
Zr  0.0000  0.0000  0.5000  6 H 2.06
Zr  0.0000  0.5000  0.0000  6 H 2.06
Zr  0.0000  0.5000  0.5000  6 H 2.06
Zr  0.1250  0.7500  0.8750  4 H 2.05
Zr  0.1250  0.8750  0.2500  4 H 2.05
Zr  0.2500  0.1250  0.8750  4 H 2.05
Zr  0.2500  0.6250  0.3750  4 H 2.05
Zr  0.3750  0.2500  0.6250  4 H 2.05
Zr  0.3750  0.6250  0.7500  4 H 2.05
Zr  0.5000  0.0000  0.0000  6 H 2.06
Zr  0.5000  0.0000  0.5000  6 H 2.06
Zr  0.5000  0.5000  0.0000  6 H 2.06
Zr  0.5000  0.5000  0.5000  6 H 2.06
Zr  0.6250  0.3750  0.2500  4 H 2.05
Zr  0.6250  0.7500  0.3750  4 H 2.05
Zr  0.7500  0.3750  0.6250  4 H 2.05
Zr  0.7500  0.8750  0.1250  4 H 2.05
Zr  0.8750  0.1250  0.7500  4 H 2.05
Zr  0.8750  0.2500  0.1250  4 H 2.05
H  0.0551  0.2171  0.1406  2 Zr 2.05-2.06, 1 Gd 2.24
H  0.0551  0.3380  0.9145  2 Zr 2.05-2.06, 1 Gd 2.24
H  0.0765  0.7171  0.6620  2 Zr 2.05-2.06, 1 Gd 2.24
H  0.0765  0.8594  0.4145  2 Zr 2.05-2.06, 1 Gd 2.24
H  0.0855  0.6406  0.4235  2 Zr 2.05-2.06, 1 Gd 2.24
H  0.0855  0.9449  0.6620  2 Zr 2.05-2.06, 1 Gd 2.24
H  0.1406  0.0551  0.2171  2 Zr 2.05-2.06, 1 Gd 2.24
H  0.1406  0.5855  0.9235  2 Zr 2.05-2.06, 1 Gd 2.24
H  0.1620  0.2171  0.5765  2 Zr 2.05-2.06, 1 Gd 2.24
H  0.1620  0.4449  0.5855  2 Zr 2.05-2.06, 1 Gd 2.24
H  0.2171  0.1406  0.0551  2 Zr 2.05-2.06, 1 Gd 2.24
H  0.2171  0.5765  0.1620  2 Zr 2.05-2.06, 1 Gd 2.24
H  0.2829  0.3380  0.9235  2 Zr 2.05-2.06, 1 Gd 2.24
H  0.2829  0.4449  0.3594  2 Zr 2.05-2.06, 1 Gd 2.24
H  0.3380  0.9145  0.0551  2 Zr 2.05-2.06, 1 Gd 2.24
H  0.3380  0.9235  0.2829  2 Zr 2.05-2.06, 1 Gd 2.24
H  0.3594  0.2829  0.4449  2 Zr 2.05-2.06, 1 Gd 2.24
H  0.3594  0.5765  0.9145  2 Zr 2.05-2.06, 1 Gd 2.24
H  0.4145  0.0765  0.8594  2 Zr 2.05-2.06, 1 Gd 2.24
H  0.4145  0.8380  0.5551  2 Zr 2.05-2.06, 1 Gd 2.24
H  0.4235  0.0855  0.6406  2 Zr 2.05-2.06, 1 Gd 2.24
H  0.4235  0.8380  0.7829  2 Zr 2.05-2.06, 1 Gd 2.24
H  0.4449  0.3594  0.2829  2 Zr 2.05-2.06, 1 Gd 2.24
H  0.4449  0.5855  0.1620  2 Zr 2.05-2.06, 1 Gd 2.24
H  0.5551  0.4145  0.8380  2 Zr 2.05-2.06, 1 Gd 2.24
H  0.5551  0.6406  0.7171  2 Zr 2.05-2.06, 1 Gd 2.24
H  0.5765  0.1620  0.2171  2 Zr 2.05-2.06, 1 Gd 2.24
H  0.5765  0.9145  0.3594  2 Zr 2.05-2.06, 1 Gd 2.24
H  0.5855  0.1620  0.4449  2 Zr 2.05-2.06, 1 Gd 2.24
H  0.5855  0.9235  0.1406  2 Zr 2.05-2.06, 1 Gd 2.24
H  0.6406  0.4235  0.0855  2 Zr 2.05-2.06, 1 Gd 2.24
H  0.6406  0.7171  0.5551  2 Zr 2.05-2.06, 1 Gd 2.24
H  0.6620  0.0765  0.7171  2 Zr 2.05-2.06, 1 Gd 2.24
H  0.6620  0.0855  0.9449  2 Zr 2.05-2.06, 1 Gd 2.24
H  0.7171  0.5551  0.6406  2 Zr 2.05-2.06, 1 Gd 2.24
H  0.7171  0.6620  0.0765  2 Zr 2.05-2.06, 1 Gd 2.24
H  0.7829  0.4235  0.8380  2 Zr 2.05-2.06, 1 Gd 2.24
H  0.7829  0.8594  0.9449  2 Zr 2.05-2.06, 1 Gd 2.24
H  0.8380  0.5551  0.4145  2 Zr 2.05-2.06, 1 Gd 2.24
H  0.8380  0.7829  0.4235  2 Zr 2.05-2.06, 1 Gd 2.24
H  0.8594  0.4145  0.0765  2 Zr 2.05-2.06, 1 Gd 2.24
H  0.8594  0.9449  0.7829  2 Zr 2.05-2.06, 1 Gd 2.24
H  0.9145  0.0551  0.3380  2 Zr 2.05-2.06, 1 Gd 2.24
H  0.9145  0.3594  0.5765  2 Zr 2.05-2.06, 1 Gd 2.24
H  0.9235  0.1406  0.5855  2 Zr 2.05-2.06, 1 Gd 2.24
H  0.9235  0.2829  0.3380  2 Zr 2.05-2.06, 1 Gd 2.24
H  0.9449  0.6620  0.0855  2 Zr 2.05-2.06, 1 Gd 2.24
H  0.9449  0.7829  0.8594  2 Zr 2.05-2.06, 1 Gd 2.24

E: -537.01 eV per cell
symmetry: Ia-3d